w:
Crystalline RbBa2Mo2 at its relaxed geometry, computed with PBE.

Geometry as POSCAR:
```
RbBa2Mo2
1.0
10.1523 0.0000 0.0000
0.0000 10.1523 0.0000
0.0000 0.0000 3.7268
Rb Mo Ba
2 4 4
direct
0.5000 0.5000 0.0000
0.0000 0.0000 0.0000
0.4270 0.0730 0.5000
0.9270 0.4270 0.5000
0.5730 0.9270 0.5000
0.0730 0.5730 0.5000
0.6955 0.1955 0.0000
0.8045 0.6955 0.0000
0.1955 0.3045 0.0000
0.3045 0.8045 0.0000
```

Summary:
Space group   P4/mbm

---

x:
Crystalline RbBa2Mo2 at its relaxed geometry, computed with PBE.

Geometry as POSCAR:
```
RbBa2Mo2
1.0
3.7312 0.0000 0.0000
0.0000 3.7312 0.0000
1.8656 1.8656 13.9995
Ba Mo Rb
2 2 1
direct
0.6477 0.6477 0.7047
0.3523 0.3523 0.2953
0.7500 0.2500 0.5000
0.2500 0.7500 0.5000
0.0000 0.0000 0.0000
```

Summary:
Space group   I4/mmm

---

Least stable = w

---

w:
Crystalline Rb2BaMo at its relaxed geometry, computed with PBE.

Geometry as POSCAR:
```
Rb2BaMo
1.0
0.0000 4.6893 4.6893
4.6893 0.0000 4.6893
4.6893 4.6893 0.0000
Mo Rb Ba
1 2 1
direct
0.0000 0.0000 0.0000
0.2500 0.2500 0.2500
0.7500 0.7500 0.7500
0.5000 0.5000 0.5000
```

Summary:
Space group   Fm-3m

---

x:
Crystalline Rb2BaMo at its relaxed geometry, computed with PBE.

Geometry as POSCAR:
```
Rb2BaMo
1.0
-4.4947 2.5943 1.2731
-2.8857 -3.9036 -2.2333
-4.1192 -7.7919 12.5496
Rb Ba Mo
4 2 2
direct
0.3750 0.3964 0.7500
0.1464 0.6250 0.2500
0.8750 0.8536 0.7500
0.6036 0.1250 0.2500
0.0000 0.0000 0.0000
0.7500 0.2500 0.5000
0.2500 0.7500 0.5000
0.5000 0.5000 0.0000
```

Summary:
Space group   I-42d

---

Least stable = w

---

w:
Crystalline BaReMo at its relaxed geometry, computed with PBE.

Geometry as POSCAR:
```
BaReMo
1.0
3.3612 0.0000 0.0000
-1.6806 2.9109 0.0000
0.0000 0.0000 7.6186
Ba Mo Re
1 1 1
direct
0.0000 0.0000 0.9925
0.6667 0.3333 0.4049
0.3333 0.6667 0.6026
```

Summary:
Space group   P3m1

---

x:
Crystalline BaReMo at its relaxed geometry, computed with PBE.

Geometry as POSCAR:
```
BaReMo
1.0
4.1818 0.0000 0.0000
-2.0909 3.6216 0.0000
0.0000 0.0000 5.6001
Ba Mo Re
1 1 1
direct
0.0000 0.0000 0.9990
0.6667 0.3333 0.4895
0.3333 0.6667 0.5115
```

Summary:
Space group   P3m1

---

Least stable = w